Record 1
The following is a PBE-GGA calculation of a geometry-optimized U2IrPt structure, from Alexandria via LeMat-Bulk.

```
data_U2IrPt
_cell_length_a 3.274
_cell_length_b 3.274
_cell_length_c 7.603
_cell_angle_alpha 90.00
_cell_angle_beta 90.00
_cell_angle_gamma 90.00
_symmetry_space_group_name_H-M 'P 4/m m m'
_symmetry_Int_Tables_number 123
_symmetry_space_group_name_Hall '-P 4 2'
loop_
_atom_site_label
_atom_site_type_symbol
_atom_site_fract_x
_atom_site_fract_y
_atom_site_fract_z
_atom_site_occupancy
U1 U 0.000 0.000 0.242 1
Ir1 Ir 0.500 0.500 0.000 1
Pt1 Pt 0.500 0.500 0.500 1
```

Summary:
ΔE_f	-1.7	eV per formula unit
uncorrected energy	-9.795	eV per atom
calculated density	17.596	g/cm3
D(E_F)	7.1	states/eV per cell

Record 2
The following is a PBE-GGA calculation of a geometry-optimized La4Pr4Nd structure, from Alexandria via LeMat-Bulk.

```
data_La4Pr4Nd
_cell_length_a 11.146
_cell_length_b 11.146
_cell_length_c 5.279
_cell_angle_alpha 90.00
_cell_angle_beta 90.00
_cell_angle_gamma 90.00
_symmetry_space_group_name_H-M 'I 4/m m m'
_symmetry_Int_Tables_number 139
_symmetry_space_group_name_Hall '-I 4 2'
loop_
_atom_site_label
_atom_site_type_symbol
_atom_site_fract_x
_atom_site_fract_y
_atom_site_fract_z
_atom_site_occupancy
La1 La 0.000 0.334 0.000 1
Pr1 Pr 0.166 0.166 0.500 1
Nd1 Nd 0.000 0.000 0.000 1
```

Summary:
ΔE_f	0.1	eV per formula unit
uncorrected energy	-4.831	eV per atom
calculated density	6.398	g/cm3
D(E_F)	35.8	states/eV per cell

Record 3
The following is a PBE-GGA calculation of a geometry-optimized Y2GaSb2 structure, from Alexandria via LeMat-Bulk.

```
data_Y2GaSb2
_cell_length_a 8.187
_cell_length_b 8.187
_cell_length_c 4.084
_cell_angle_alpha 90.00
_cell_angle_beta 90.00
_cell_angle_gamma 90.00
_symmetry_space_group_name_H-M 'P 4/m b m'
_symmetry_Int_Tables_number 127
_symmetry_space_group_name_Hall '-P 4 2ab'
loop_
_atom_site_label
_atom_site_type_symbol
_atom_site_fract_x
_atom_site_fract_y
_atom_site_fract_z
_atom_site_occupancy
Y1 Y 0.156 0.344 0.000 1
Ga1 Ga 0.000 0.000 0.500 1
Sb1 Sb 0.148 0.648 0.500 1
```

Summary:
uncorrected energy	-5.551	eV per atom
formation energy (no corrections)	-3.6	eV per formula unit
excess energy over the best structure of this formula in the dataset	0	meV/atom
calculated density	5.957	g/cm3
D(E_F)	3.4	states/eV per cell

Record 4
The following is a PBE-GGA calculation of a geometry-optimized Li2Bi3Pd7 structure, from Alexandria via LeMat-Bulk.

```
data_Li2Bi3Pd7
_cell_length_a 4.431
_cell_length_b 3.479
_cell_length_c 14.277
_cell_angle_alpha 90.00
_cell_angle_beta 98.45
_cell_angle_gamma 90.00
_symmetry_space_group_name_H-M 'P 1 2/m 1'
_symmetry_Int_Tables_number 10
_symmetry_space_group_name_Hall '-P 2y'
loop_
_atom_site_label
_atom_site_type_symbol
_atom_site_fract_x
_atom_site_fract_y
_atom_site_fract_z
_atom_site_occupancy
Li1 Li 0.138 0.000 0.275 1
Bi1 Bi 0.000 0.000 0.000 1
Bi2 Bi 0.316 0.500 0.634 1
Pd1 Pd 0.077 0.500 0.150 1
Pd2 Pd 0.224 0.000 0.445 1
Pd3 Pd 0.410 0.000 0.823 1
Pd4 Pd 0.500 0.500 0.000 1
```

Summary:
ΔE_f	-2.4	eV per formula unit
uncorrected energy	-4.516	eV per atom
calculated density	10.572	g/cm3
D(E_F)	6.8	states/eV per cell

Record 5
The following is a PBE-GGA calculation of a geometry-optimized CsSiGe2 structure, from Alexandria via LeMat-Bulk.

```
data_CsSiGe2
_cell_length_a 4.3114
_cell_length_b 4.3114
_cell_length_c 21.2574
_cell_angle_alpha 90.00
_cell_angle_beta 90.00
_cell_angle_gamma 120.00
_symmetry_space_group_name_H-M 'R -3 m'
_symmetry_Int_Tables_number 166
_symmetry_space_group_name_Hall '-R 3 2"'
loop_
_atom_site_label
_atom_site_type_symbol
_atom_site_fract_x
_atom_site_fract_y
_atom_site_fract_z
_atom_site_occupancy
Cs1 Cs 0.0000 0.0000 0.0000 1
Si1 Si 0.0000 0.0000 0.5000 1
Ge1 Ge 0.0000 0.0000 0.2057 1
```

Summary:
uncorrected energy	-3.751	eV per atom
formation energy (no corrections)	0.5	eV per formula unit
calculated density	4.459	g/cm3
D(E_F)	5.4	states/eV per cell

Record 6
The following is a PBE-GGA calculation of a geometry-optimized NpTl2HgBr8 structure, from Alexandria via LeMat-Bulk.

```
data_NpTl2HgBr8
_cell_length_a 6.978
_cell_length_b 7.186
_cell_length_c 9.629
_cell_angle_alpha 89.95
_cell_angle_beta 89.97
_cell_angle_gamma 85.99
_symmetry_space_group_name_H-M 'P -1'
_symmetry_Int_Tables_number 2
_symmetry_space_group_name_Hall '-P 1'
loop_
_atom_site_label
_atom_site_type_symbol
_atom_site_fract_x
_atom_site_fract_y
_atom_site_fract_z
_atom_site_occupancy
Np1 Np 0.000 0.000 0.000 1
Tl1 Tl 0.499 0.500 0.247 1
Hg1 Hg 0.000 0.000 0.500 1
Br1 Br 0.201 0.700 0.500 1
Br2 Br 0.225 0.662 0.000 1
Br3 Br 0.228 0.135 0.792 1
Br4 Br 0.229 0.134 0.208 1
```

Summary:
uncorrected energy	-3.527	eV per atom
formation energy (no corrections)	-11.0	eV per formula unit
calculated density	5.121	g/cm3
D(E_F)	4.4	states/eV per cell

Record 7
The following is a PBE-GGA calculation of a geometry-optimized Ac2MnTc2N6 structure, from Alexandria via LeMat-Bulk.

```
data_Ac2MnTc2N6
_cell_length_a 5.9287
_cell_length_b 5.9287
_cell_length_c 15.9508
_cell_angle_alpha 90.00
_cell_angle_beta 90.00
_cell_angle_gamma 120.00
_symmetry_space_group_name_H-M 'R -3 m'
_symmetry_Int_Tables_number 166
_symmetry_space_group_name_Hall '-R 3 2"'
loop_
_atom_site_label
_atom_site_type_symbol
_atom_site_fract_x
_atom_site_fract_y
_atom_site_fract_z
_atom_site_occupancy
Ac1 Ac 0.0000 0.0000 0.2165 1
Mn1 Mn 0.0000 0.0000 0.0000 1
Tc1 Tc 0.0000 0.0000 0.4271 1
N1 N 0.0257 0.5129 0.7440 1
```

Summary:
uncorrected energy	-8.405	eV per atom
formation energy (no corrections)	-4.4	eV per formula unit
calculated density	8.095	g/cm3
D(E_F)	15.7	states/eV per cell

Record 8
The following is a PBE-GGA calculation of a geometry-optimized NdGdMgTc structure, from Alexandria via LeMat-Bulk.

```
data_NdGdMgTc
_cell_length_a 7.255
_cell_length_b 7.255
_cell_length_c 7.255
_cell_angle_alpha 90.00
_cell_angle_beta 90.00
_cell_angle_gamma 90.00
_symmetry_space_group_name_H-M 'F -4 3 m'
_symmetry_Int_Tables_number 216
_symmetry_space_group_name_Hall 'F -4 2 3'
loop_
_atom_site_label
_atom_site_type_symbol
_atom_site_fract_x
_atom_site_fract_y
_atom_site_fract_z
_atom_site_occupancy
Nd1 Nd 0.000 0.000 0.000 1
Gd1 Gd 0.000 0.000 0.500 1
Mg1 Mg 0.250 0.250 0.750 1
Tc1 Tc 0.250 0.250 0.250 1
```

Summary:
ΔE_f	0.3	eV per formula unit
uncorrected energy	-7.638	eV per atom
calculated density	7.372	g/cm3
D(E_F)	9.2	states/eV per cell